Compound: CsNiTeF6
Source: the Alexandria database
Functional: PBE+U
Structure: optimized geometry

Unit cell a=5.378 b=5.926 c=6.292 alpha=90.05 beta=91.56 gamma=114.37
Space group P1 (No. 1)
One atom of each set of equivalent atoms:
1 Cs 0.000 0.000 0.000 x1
2 Ni 0.338 0.706 0.460 x1
3 Te 0.675 0.340 0.509 x1
4 F 0.075 0.448 0.669 x1
5 F 0.345 0.003 0.629 x1
6 F 0.389 0.397 0.319 x1
7 F 0.499 0.937 0.231 x1
8 F 0.677 0.733 0.610 x1
9 F 0.953 0.603 0.312 x1

## Properties
Total energy ... -4.082 eV/atom